Here is a geometry-optimized CdAsP2 structure from Alexandria. Energies are from PBE.

Cell lengths 3.748, 2.709, 7.745 Å; angles 76.13, 90.00, 90.00 degrees
Atoms (fractional coordinates):
As  0.500  0.250  0.250
Cd  0.500  0.750  0.750
P  0.000  0.098  0.483
P  0.000  0.402  0.017

## Properties
SG: P2/m
E_form: 272 meV per atom
polymorph energy (0 for the lowest one): 122.2 meV/atom

Here is a geometry-optimized Li2BCl structure from Alexandria. Energies are from PBE.

Cell lengths 4.396, 4.396, 4.396 Å; angles 60.00, 60.00, 60.00 degrees
Site moments in Bohr magnetons follow the coordinates.
Atoms (fractional coordinates):
Cl  0.500  0.500  0.500  0.01
B  0.000  0.000  0.000  0.22
Li  0.250  0.250  0.250  0.01
Li  0.750  0.750  0.750  0.01

## Properties
SG: Fm-3m
polymorph energy (0 for the lowest one): 208.0 meV/atom
formation energy without anion corrections: 1.33 eV/f.u.

Here is a geometry-optimized Nd4SmPd2 structure from Alexandria. Energies are from PBE.

Cell lengths 4.087, 4.087, 15.724 Å; angles 82.53, 82.53, 60.00 degrees
Atoms (fractional coordinates):
Sm  0.500  0.500  0.500
Nd  0.895  0.895  0.314
Pd  0.402  0.402  0.795
Nd  0.105  0.105  0.686
Nd  0.301  0.301  0.096
Nd  0.699  0.699  0.904
Pd  0.598  0.598  0.205

## Properties
SG: R-3m
E_form: -287 meV per atom
polymorph energy (0 for the lowest one): 7.9 meV/atom

Here is a geometry-optimized Y4SbRu structure from Alexandria. Energies are from PBE.

Cell lengths 6.061, 6.061, 6.061 Å; angles 60.00, 60.00, 60.00 degrees
Atoms (fractional coordinates):
Y  0.872  0.376  0.376
Y  0.376  0.872  0.376
Y  0.376  0.376  0.872
Sb  0.000  0.000  0.000
Y  0.376  0.376  0.376
Ru  0.750  0.750  0.750

## Properties
SG: F-43m
polymorph energy (0 for the lowest one): 1093.5 meV/atom
formation energy without anion corrections: 3.12 eV/f.u.

Here is a geometry-optimized Mg14CuNi structure from Alexandria. Energies are from PBE.

Cell lengths 6.214, 6.214, 9.881 Å; angles 90.00, 90.00, 119.26 degrees
Atoms (fractional coordinates):
Mg  0.336  0.664  0.000
Ni  0.321  0.679  0.500
Mg  0.831  0.671  0.000
Cu  0.826  0.174  0.500
Mg  0.665  0.335  0.250
Mg  0.864  0.638  0.500
Mg  0.161  0.346  0.290
Mg  0.362  0.136  0.500
Mg  0.161  0.346  0.710
Mg  0.329  0.169  0.000
Mg  0.665  0.335  0.750
Mg  0.166  0.834  0.253
Mg  0.654  0.839  0.290
Mg  0.166  0.834  0.747
Mg  0.836  0.164  0.000
Mg  0.654  0.839  0.710

## Properties
SG: Amm2
E_form: 8 meV per atom
polymorph energy (0 for the lowest one): 0.0 meV/atom

Here is a geometry-optimized NaLaCuH structure from Alexandria. Energies are from PBE.

Cell lengths 3.515, 3.520, 7.407 Å; angles 103.80, 103.93, 89.98 degrees
Atoms (fractional coordinates):
La  0.206  0.212  0.073
Na  0.940  0.946  0.545
Cu  0.579  0.588  0.824
H  0.717  0.722  0.095

## Properties
SG: P1
polymorph energy (0 for the lowest one): 0.0 meV/atom

Here is a geometry-optimized Sm2AgI8 structure from Alexandria. Energies are from PBE.

Cell lengths 6.138, 14.320, 14.320 Å; angles 29.48, 109.69, 109.69 degrees
Atoms (fractional coordinates):
I  0.880  0.176  0.176
I  0.777  0.668  0.180
I  0.120  0.824  0.824
I  0.441  0.710  0.710
I  0.559  0.290  0.290
Ag  0.000  0.000  0.000
I  0.777  0.180  0.668
I  0.223  0.332  0.820
Sm  0.371  0.170  0.170
I  0.223  0.820  0.332
Sm  0.629  0.830  0.830

## Properties
SG: C2/m
formation energy without anion corrections: -10.36 eV/f.u.

Here is a geometry-optimized Fe2Rh structure from Alexandria. Energies are from PBE.

Cell lengths 6.480, 6.480, 4.355 Å; angles 90.00, 90.00, 154.73 degrees
Site moments in Bohr magnetons follow the coordinates.
Atoms (fractional coordinates):
Rh  0.766  0.234  0.250  0.58
Fe  0.568  0.432  0.750  2.76
Fe  0.912  0.088  0.750  2.77
Rh  0.234  0.766  0.750  0.58
Fe  0.088  0.912  0.250  2.77
Fe  0.432  0.568  0.250  2.76

## Properties
SG: Cmcm
E_form: 56 meV per atom

Here is a geometry-optimized YCrPCl2 structure from Alexandria. Energies are from PBE.

Cell lengths 5.122, 5.122, 5.628 Å; angles 90.00, 90.00, 90.00 degrees
Site moments in Bohr magnetons follow the coordinates.
Atoms (fractional coordinates):
Cl  0.500  0.000  0.000  0.00
P  0.000  0.000  0.500  -0.36
Cr  0.500  0.500  0.500  4.27
Cl  0.000  0.500  0.000  0.00
Y  0.000  0.000  0.000  -0.02

## Properties
SG: P4/mmm
polymorph energy (0 for the lowest one): 203.4 meV/atom
formation energy without anion corrections: -2.26 eV/f.u.

Here is a geometry-optimized La4Bi4S8O3F structure from Alexandria. Energies are from PBE.

Cell lengths 14.388, 14.388, 14.388 Å; angles 156.93, 156.93, 32.86 degrees
Atoms (fractional coordinates):
S  0.842  0.842  0.494
S  0.653  0.158  0.000
Bi  0.439  0.439  0.501
S  0.045  0.045  0.480
S  0.347  0.347  0.506
Bi  0.938  0.938  0.499
S  0.158  0.653  0.000
S  0.435  0.955  0.000
La  0.809  0.287  0.000
F  0.500  0.500  0.000
La  0.713  0.713  0.522
O  0.000  0.000  0.000
La  0.287  0.809  0.000
Bi  0.561  0.062  0.000
Bi  0.062  0.561  0.000
S  0.565  0.565  0.520
O  0.000  0.500  0.500
O  0.500  0.000  0.500
S  0.955  0.435  0.000
La  0.191  0.191  0.478

## Properties
SG: I-42m
formation energy without anion corrections: -36.34 eV/f.u.

Here is a geometry-optimized Tl13Cd2 structure from Alexandria. Energies are from PBE.

Cell lengths 6.614, 8.578, 8.729 Å; angles 112.05, 81.48, 99.74 degrees
Atoms (fractional coordinates):
Tl  0.925  0.408  0.290
Tl  0.183  0.813  0.232
Tl  0.316  0.008  0.662
Cd  0.855  0.793  0.552
Tl  0.075  0.592  0.710
Tl  0.517  0.802  0.870
Cd  0.145  0.207  0.448
Tl  0.750  0.591  0.042
Tl  0.566  0.393  0.611
Tl  0.684  0.992  0.338
Tl  0.250  0.409  0.958
Tl  0.000  0.000  0.000
Tl  0.434  0.607  0.389
Tl  0.817  0.187  0.768
Tl  0.483  0.198  0.130

## Properties
SG: P-1
E_form: 19 meV per atom
polymorph energy (0 for the lowest one): 0.0 meV/atom

Here is a geometry-optimized VCu2I structure from Alexandria. Energies are from PBE.

Cell lengths 4.662, 4.662, 4.662 Å; angles 60.00, 60.00, 60.00 degrees
Site moments in Bohr magnetons follow the coordinates.
Atoms (fractional coordinates):
Cu  0.750  0.750  0.750  0.05
Cu  0.250  0.250  0.250  0.05
V  0.000  0.000  0.000  2.68
I  0.500  0.500  0.500  0.01

## Properties
SG: Fm-3m
polymorph energy (0 for the lowest one): 169.6 meV/atom
formation energy without anion corrections: 3.53 eV/f.u.

Here is a geometry-optimized BeInNiHg2 structure from Alexandria. Energies are from PBE.

Cell lengths 5.100, 4.157, 5.100 Å; angles 90.00, 90.00, 90.00 degrees
Atoms (fractional coordinates):
Be  0.000  0.500  0.000
In  0.500  0.500  0.500
Ni  0.000  0.000  0.000
Hg  0.000  0.000  0.500
Hg  0.500  0.000  0.000

## Properties
SG: P4/mmm
E_form: 329 meV per atom

Here is a geometry-optimized AgAuSe2Br structure from Alexandria. Energies are from PBE.

Cell lengths 5.117, 5.117, 5.313 Å; angles 90.00, 90.00, 90.00 degrees
Atoms (fractional coordinates):
Se  0.500  0.000  0.000
Au  0.000  0.000  0.000
Br  0.000  0.000  0.500
Ag  0.500  0.500  0.500
Se  0.000  0.500  0.000

## Properties
SG: P4/mmm
polymorph energy (0 for the lowest one): 0.0 meV/atom
formation energy without anion corrections: 2.56 eV/f.u.

Here is a geometry-optimized CdPPd2 structure from Alexandria. Energies are from PBE.

Cell lengths 4.023, 4.023, 5.543 Å; angles 68.72, 68.72, 60.00 degrees
Atoms (fractional coordinates):
Pd  0.053  0.053  0.840
Pd  0.277  0.277  0.170
Cd  0.495  0.495  0.516
P  0.675  0.675  0.974

## Properties
SG: R3m
E_form: -261 meV per atom
polymorph energy (0 for the lowest one): 137.8 meV/atom

Here is a geometry-optimized LiReTcGe2 structure from Alexandria. Energies are from PBE.

Cell lengths 4.732, 4.732, 4.663 Å; angles 90.00, 90.00, 90.00 degrees
Site moments in Bohr magnetons follow the coordinates.
Atoms (fractional coordinates):
Ge  0.000  0.500  0.000  -0.01
Li  0.000  0.000  0.500  -0.01
Re  0.000  0.000  0.000  0.27
Tc  0.500  0.500  0.500  3.30
Ge  0.500  0.000  0.000  -0.01

## Properties
SG: P4/mmm
E_form: 1139 meV per atom

Here is a geometry-optimized InRe2C structure from Alexandria. Energies are from PBE.

Cell lengths 4.325, 4.325, 4.325 Å; angles 60.00, 60.00, 60.00 degrees
Atoms (fractional coordinates):
Re  0.750  0.750  0.750
Re  0.250  0.250  0.250
C  0.000  0.000  0.000
In  0.500  0.500  0.500

## Properties
SG: Fm-3m
E_form: 1864 meV per atom
polymorph energy (0 for the lowest one): 724.8 meV/atom

Here is a geometry-optimized MnBeSe2 structure from Alexandria. Energies are from PBE.

Cell lengths 7.195, 6.441, 3.622 Å; angles 89.97, 90.01, 71.20 degrees
Site moments in Bohr magnetons follow the coordinates.
Atoms (fractional coordinates):
Se  0.154  0.137  0.843  -0.04
Se  0.647  0.129  0.341  0.01
Be  0.566  0.822  0.342  0.02
Se  0.198  0.584  0.343  -0.01
Mn  0.319  0.753  0.843  -3.06
Se  0.685  0.622  0.842  -0.03
Mn  0.025  0.973  0.343  3.63
Be  0.579  0.335  0.841  0.00

## Properties
SG: P1
formation energy without anion corrections: -1.74 eV/f.u.

Here is a geometry-optimized Na4TaAl3P6O24 structure from Alexandria. Energies are from PBE.

Cell lengths 8.573, 8.571, 8.774 Å; angles 60.69, 60.80, 60.00 degrees
Atoms (fractional coordinates):
P  0.958  0.264  0.254
O  0.085  0.720  0.258
O  0.930  0.272  0.732
O  0.135  0.285  0.089
P  0.040  0.743  0.758
O  0.979  0.211  0.440
Al  0.347  0.352  0.944
P  0.264  0.530  0.239
Na  0.750  0.108  0.763
O  0.216  0.365  0.409
O  0.856  0.727  0.916
O  0.582  0.431  0.765
O  0.637  0.010  0.582
O  0.282  0.068  0.721
P  0.755  0.451  0.760
O  0.361  0.989  0.425
O  0.556  0.781  0.227
O  0.509  0.137  0.073
O  0.776  0.434  0.236
O  0.723  0.483  0.930
Na  0.384  0.745  0.757
O  0.435  0.217  0.777
O  0.712  0.932  0.271
Na  0.484  0.499  0.493
O  0.782  0.632  0.587
O  0.069  0.918  0.739
Na  0.017  0.036  0.988
O  0.223  0.569  0.771
P  0.455  0.039  0.756
O  0.293  0.518  0.058
O  0.932  0.088  0.263
P  0.525  0.963  0.247
O  0.015  0.783  0.575
Al  0.148  0.152  0.552
Ta  0.862  0.857  0.425
O  0.486  0.856  0.919
Al  0.644  0.641  0.068
O  0.430  0.557  0.232

## Properties
SG: P1
formation energy without anion corrections: -94.79 eV/f.u.

Here is a geometry-optimized SrY2Ga6 structure from Alexandria. Energies are from PBE.

Cell lengths 4.300, 7.388, 7.388 Å; angles 120.00, 90.00, 90.00 degrees
Atoms (fractional coordinates):
Ga  0.500  0.337  0.000
Ga  0.500  0.000  0.337
Y  0.000  0.333  0.667
Ga  0.500  0.663  0.000
Ga  0.500  0.663  0.663
Y  0.000  0.667  0.333
Ga  0.500  0.337  0.337
Sr  0.000  0.000  0.000
Ga  0.500  0.000  0.663

## Properties
SG: P6/mmm
E_form: -579 meV per atom
polymorph energy (0 for the lowest one): 0.0 meV/atom

Here is a geometry-optimized AcBeGe2Pt structure from Alexandria. Energies are from PBE.

Cell lengths 4.305, 4.305, 6.111 Å; angles 110.63, 110.63, 90.00 degrees
Atoms (fractional coordinates):
Ge  0.373  0.373  0.745
Ac  0.000  0.000  0.000
Ge  0.627  0.627  0.255
Be  0.750  0.250  0.500
Pt  0.250  0.750  0.500

## Properties
SG: I-4m2
E_form: -619 meV per atom

Here is a geometry-optimized Y2ScAg4 structure from Alexandria. Energies are from PBE.

Cell lengths 5.155, 5.155, 7.322 Å; angles 110.61, 110.61, 90.00 degrees
Atoms (fractional coordinates):
Y  0.728  0.728  0.456
Sc  0.000  0.000  0.000
Y  0.272  0.272  0.544
Ag  0.886  0.386  0.773
Ag  0.614  0.114  0.227
Ag  0.114  0.614  0.227
Ag  0.386  0.886  0.773

## Properties
SG: I4/mmm
E_form: -117 meV per atom

Here is a geometry-optimized TlCuBr2 structure from Alexandria. Energies are from PBE.

Cell lengths 4.429, 4.429, 8.576 Å; angles 90.00, 90.00, 128.85 degrees
Atoms (fractional coordinates):
Br  0.000  0.000  0.053
Cu  0.500  0.500  0.250
Br  0.000  0.000  0.447
Tl  0.500  0.500  0.750

## Properties
SG: Cmmm
polymorph energy (0 for the lowest one): 192.4 meV/atom
formation energy without anion corrections: -1.40 eV/f.u.

Here is a geometry-optimized PmMg2Sn4 structure from Alexandria. Energies are from PBE.

Cell lengths 4.476, 6.535, 6.535 Å; angles 89.97, 90.00, 90.00 degrees
Atoms (fractional coordinates):
Sn  0.500  0.500  0.000
Mg  0.000  0.209  0.791
Sn  0.500  0.000  0.500
Mg  0.000  0.791  0.209
Sn  0.000  0.250  0.250
Pm  0.500  0.500  0.500
Sn  0.000  0.750  0.750

## Properties
SG: Cmmm
E_form: -289 meV per atom
polymorph energy (0 for the lowest one): 0.0 meV/atom

Here are the calculated DOS(E_F) numbers, same order: 1.6 2.5 9.4 9.2 5.1 2.2 3.2 3.2 3.9 3.9 6.2 4.7 2.3 7.3 2.1 3.5 4.8 1.2 0.0 2.7 1.2 6.2 2.3 2.5 (states/eV/f.u.).